First-principles (PBE) data for Cs3Sm3InS8 after structural relaxation, as listed in Alexandria.

The space group is R-3m (No. 166, hexagonal axes) and the conventional cell measures 8.2140, 8.2140 and 24.6961 Å, with angles of 90.00, 90.00 and 120.00 degrees. Symmetry generates all atoms from Cs at (0.0000, 0.5000, 0.0000), Sm at (0.0000, 0.5000, 0.5000), In at (0.0000, 0.0000, 0.5000), S at (0.0000, 0.0000, 0.2281) and S at (0.0119, 0.5060, 0.2262).

The calculation puts the formation energy from raw total energies at -1.465 eV/atom. The calculation puts the magnetization at 0.0 μB per formula unit. The calculation puts the total energy at -223.37 eV for the cell shown.